Entry 1:
Density functional theory data (GGA-PBE) for a relaxed structure of PuCuSn2.

Calculated values
Total magnetization   17.62 Bohr magnetons per cell
VASP energy   -26.91 eV per formula unit

a b c (Å): 4.4791 4.4791 16.3797
angles (deg): 90.00 90.00 120.00
Space group R-3m (No. 166, hexagonal axes)
Unique sites:
Pu  0.0000  0.0000  0.0000 [3 per cell]
Cu  0.0000  0.0000  0.5000 [3 per cell]
Sn  0.0000  0.0000  0.2238 [6 per cell]

---

Entry 2:
Density functional theory data (GGA-PBE) for a relaxed structure of TbPuCuSn.

Calculated values
Total magnetization   24.98 Bohr magnetons per cell
VASP energy   -28.05 eV per formula unit

a b c (Å): 7.3342 7.3342 7.3342
angles (deg): 90.00 90.00 90.00
Space group F-43m (No. 216)
Unique sites:
Tb  0.0000  0.0000  0.0000 [4 per cell]
Pu  0.0000  0.0000  0.5000 [4 per cell]
Cu  0.2500  0.2500  0.2500 [4 per cell]
Sn  0.2500  0.2500  0.7500 [4 per cell]

---

Entry 3:
Density functional theory data (GGA-PBE) for a relaxed structure of Pu2ThCu2Sn2.

Calculated values
Total magnetization   8.57 Bohr magnetons per cell
VASP energy   -52.38 eV per formula unit

a b c (Å): 4.2147 4.2147 29.0782
angles (deg): 90.00 90.00 120.00
Space group R-3m (No. 166, hexagonal axes)
Unique sites:
Pu  0.0000  0.0000  0.1556 [6 per cell]
Th  0.0000  0.0000  0.0000 [3 per cell]
Cu  0.0000  0.0000  0.4320 [6 per cell]
Sn  0.0000  0.0000  0.2616 [6 per cell]

---

Entry 4:
Density functional theory data (GGA-PBE) for a relaxed structure of TmPuCuSn.

Calculated values
Total magnetization   24.87 Bohr magnetons per cell
VASP energy   -27.87 eV per formula unit

a b c (Å): 7.2678 7.2678 7.2678
angles (deg): 90.00 90.00 90.00
Space group F-43m (No. 216)
Unique sites:
Tm  0.0000  0.0000  0.0000 [4 per cell]
Pu  0.0000  0.0000  0.5000 [4 per cell]
Cu  0.2500  0.2500  0.7500 [4 per cell]
Sn  0.2500  0.2500  0.2500 [4 per cell]

---

Entry 5:
Density functional theory data (GGA-PBE) for a relaxed structure of YPuCuSn.

Calculated values
Total magnetization   25.01 Bohr magnetons per cell
VASP energy   -29.92 eV per formula unit

a b c (Å): 7.3285 7.3285 7.3285
angles (deg): 90.00 90.00 90.00
Space group F-43m (No. 216)
Unique sites:
Y  0.0000  0.0000  0.0000 [4 per cell]
Pu  0.0000  0.0000  0.5000 [4 per cell]
Cu  0.2500  0.2500  0.7500 [4 per cell]
Sn  0.2500  0.2500  0.2500 [4 per cell]

---

Entry 6:
Density functional theory data (GGA-PBE) for a relaxed structure of SrPuCu4.

Calculated values
Total magnetization   25.25 Bohr magnetons per cell
VASP energy   -31.66 eV per formula unit

a b c (Å): 7.6028 7.6028 7.6028
angles (deg): 90.00 90.00 90.00
Space group F-43m (No. 216)
Unique sites:
Sr  0.0000  0.0000  0.0000 [4 per cell]
Pu  0.2500  0.2500  0.7500 [4 per cell]
Cu  0.1244  0.1244  0.3756 [16 per cell]

---

| no. | energy of formation (kJ/mol of formula units) |
| --- | --- |
| 1 | -46 |
| 2 | -95 |
| 3 | -9 |
| 4 | -94 |
| 5 | -99 |
| 6 | 71 |